(1)
# TbPmGeRu | Alexandria | PBE | optimized geometry
data_TbPmGeRu
_chemical_formula_sum 'Tb4 Pm4 Ge4 Ru4'
_symmetry_space_group_name_H-M 'F -4 3 m'
_symmetry_Int_Tables_number 216
_symmetry_space_group_name_Hall 'F -4 2 3'
_cell_length_a 7.0831
_cell_length_b 7.0831
_cell_length_c 7.0831
_cell_angle_alpha 90.00
_cell_angle_beta 90.00
_cell_angle_gamma 90.00
loop_
_atom_site_label
_atom_site_type_symbol
_atom_site_fract_x
_atom_site_fract_y
_atom_site_fract_z
Tb1 Tb 0.0000 0.0000 0.0000
Pm1 Pm 0.0000 0.0000 0.5000
Ge1 Ge 0.2500 0.2500 0.2500
Ru1 Ru 0.2500 0.2500 0.7500
# DOS(E_F) = 9.76 states/eV/cell
# energy relative to the lowest polymorph listed for this composition = 182 meV/atom

***

(2)
# HgTeF2 | Alexandria | PBE | optimized geometry
data_HgTeF2
_chemical_formula_sum 'Hg3 Te3 F6'
_symmetry_space_group_name_H-M 'R -3 m'
_symmetry_Int_Tables_number 166
_symmetry_space_group_name_Hall '-R 3 2"'
_cell_length_a 3.1055
_cell_length_b 3.1055
_cell_length_c 27.3861
_cell_angle_alpha 90.00
_cell_angle_beta 90.00
_cell_angle_gamma 120.00
loop_
_atom_site_label
_atom_site_type_symbol
_atom_site_fract_x
_atom_site_fract_y
_atom_site_fract_z
Hg1 Hg 0.0000 0.0000 0.0000
Te1 Te 0.0000 0.0000 0.5000
F1 F 0.0000 0.0000 0.0999
# E_form (uncorrected) = -0.8280 eV/atom
# DOS(E_F) = 4.95 states/eV/cell
# energy relative to the lowest polymorph listed for this composition = 293 meV/atom

***

(3)
# Er2Fe2B2C | Alexandria | PBE | optimized geometry
data_Er2Fe2B2C
_chemical_formula_sum 'Er4 Fe4 B4 C2'
_symmetry_space_group_name_H-M 'C 1 2/m 1'
_symmetry_Int_Tables_number 12
_symmetry_space_group_name_Hall '-C 2y'
_cell_length_a 10.1389
_cell_length_b 3.5545
_cell_length_c 6.3468
_cell_angle_alpha 90.00
_cell_angle_beta 126.88
_cell_angle_gamma 90.00
loop_
_atom_site_label
_atom_site_type_symbol
_atom_site_fract_x
_atom_site_fract_y
_atom_site_fract_z
Er1 Er 0.0627 0.0000 0.3148
Fe1 Fe 0.2043 0.5000 0.0946
B1 B 0.1901 0.5000 0.7576
C1 C 0.0000 0.5000 0.0000
# DOS(E_F) = 7.67 states/eV/cell
# calculated total energy = -103.833 eV for the cell shown